Entry 1:
Density functional theory data (PBE-GGA) for a relaxed structure of TmAlFe.

Properties
The symmetry is F-43m, No. 216. The volume is 19.1 Å³/atom.

Cell and atoms, written as POSCAR:
```
TmAlFe
1.0
0.0000 3.0610 3.0610
3.0610 0.0000 3.0610
3.0610 3.0610 0.0000
Tm Al Fe
1 1 1
Direct
0.0000 0.0000 0.0000
0.5000 0.5000 0.5000
0.7500 0.7500 0.7500
```

Entry 2:
Density functional theory data (PBE-GGA) for a relaxed structure of ZnF.

Properties
The symmetry is Fm-3m, No. 225. The volume is 13.2 Å³/atom.

Cell and atoms, written as POSCAR:
```
ZnF
1.0
0.0000 2.3658 2.3658
2.3658 0.0000 2.3658
2.3658 2.3658 0.0000
Zn F
1 1
Direct
0.0000 0.0000 0.0000
0.5000 0.5000 0.5000
```

Number 1: calculated total energy -16.33 eV for the cell shown. Number 2: calculated total energy -5.25 eV for the cell shown.